i | VASP calculation (PBE) on a relaxed CaPmCuPt crystal.

Summary:
The symmetry is F-43m (216).

Geometry as POSCAR:
```
CaPmCuPt
1.0
-4.4004 -2.3584 -0.4321
-0.1477 -4.7660 -1.5413
-1.2197 -3.6388 3.2224
Ca Cu Pt Pm
1 1 1 1
Direct
0.5000 0.5000 0.5000
0.2500 0.2500 0.2500
0.7500 0.7500 0.7500
0.0000 0.0000 0.0000
```

---

ii | VASP calculation (PBE) on a relaxed CaPmCuPt crystal.

Summary:
The symmetry is Amm2 (38).

Geometry as POSCAR:
```
CaPmCuPt
1.0
4.0162 0.0000 0.0000
0.0000 4.3186 0.0000
-2.0081 0.0000 5.4627
Ca Pm Cu Pt
1 1 1 1
Direct
0.1425 0.0000 0.2850
0.8634 0.5000 0.7267
0.5698 0.5000 0.1396
0.4243 0.0000 0.8486
```

---

Question: which arrangement is favored energetically? Ranking from most to least stable: ii, i.

---

i | VASP calculation (PBE) on a relaxed CaPmCuRh crystal.

Summary:
The symmetry is Amm2 (38).

Geometry as POSCAR:
```
CaPmCuRh
1.0
3.9824 0.0000 0.0000
0.0000 4.1746 0.0000
-1.9912 0.0000 5.5383
Ca Pm Cu Rh
1 1 1 1
Direct
0.1429 0.0000 0.2859
0.8622 0.5000 0.7245
0.5699 0.5000 0.1399
0.4249 0.0000 0.8498
```

---

ii | VASP calculation (PBE) on a relaxed CaPmCuRh crystal.

Summary:
The symmetry is F-43m (216).

Geometry as POSCAR:
```
CaPmCuRh
1.0
4.9642 0.0000 0.0000
2.4821 4.2991 0.0000
2.4821 1.4330 4.0533
Ca Rh Cu Pm
1 1 1 1
Direct
0.5000 0.5000 0.5000
0.7500 0.7500 0.7500
0.2500 0.2500 0.2500
0.0000 0.0000 0.0000
```

---

Question: which arrangement is favored energetically? Ranking from most to least stable: i, ii.

---

i | VASP calculation (PBE) on a relaxed CaPrCu4 crystal.

Summary:
The symmetry is Immm (71).

Geometry as POSCAR:
```
CaPrCu4
1.0
3.9854 0.0018 1.4654
1.7866 5.2974 1.2869
0.1589 -0.4014 5.7205
Ca Pr Cu
1 1 4
Direct
0.5000 0.5000 0.5000
0.0000 0.0000 0.0000
0.7461 0.5876 0.9200
0.7461 0.9200 0.5876
0.2538 0.4124 0.0800
0.2538 0.0800 0.4124
```

---

ii | VASP calculation (PBE) on a relaxed CaPrCu4 crystal.

Summary:
The symmetry is F-43m (216).

Geometry as POSCAR:
```
CaPrCu4
1.0
5.3555 0.0000 0.0000
2.6778 4.6380 0.0000
2.6778 1.5460 4.3728
Pr Ca Cu
1 1 4
Direct
0.0000 0.0000 0.0000
0.2500 0.2500 0.2500
0.6231 0.6231 0.1306
0.6231 0.1306 0.6231
0.6231 0.6231 0.6231
0.1306 0.6231 0.6231
```

---

Question: which arrangement is favored energetically? Ranking from most to least stable: i, ii.

---

i | VASP calculation (PBE) on a relaxed CaPrCu crystal.

Summary:
The symmetry is F-43m (216).

Geometry as POSCAR:
```
CaPrCu
1.0
5.0183 0.0000 0.0000
2.5092 4.3460 0.0000
2.5092 1.4487 4.0974
Pr Ca Cu
1 1 1
Direct
0.0000 0.0000 0.0000
0.5000 0.5000 0.5000
0.2500 0.2500 0.2500
```

---

ii | VASP calculation (PBE) on a relaxed CaPrCu crystal.

Summary:
The symmetry is P3m1 (156).

Geometry as POSCAR:
```
CaPrCu
1.0
-2.6128 0.4235 3.1333
-2.3190 -4.0671 -1.3841
3.7263 -0.2642 3.1431
Pr Ca Cu
1 1 1
Direct
0.0686 0.0000 0.0000
0.5908 0.6667 0.3333
0.3406 0.3333 0.6667
```

---

iii | VASP calculation (PBE) on a relaxed CaPrCu crystal.

Summary:
The symmetry is P2_1/m (11).

Geometry as POSCAR:
```
CaPrCu
1.0
4.5593 0.0000 0.0000
0.0000 3.8668 -0.3397
0.0000 -1.0690 10.2807
Ca Pr Cu
2 2 2
Direct
0.7500 0.3076 0.6158
0.2500 0.6924 0.3842
0.2500 0.9242 0.8498
0.7500 0.0758 0.1502
0.2500 0.5361 0.0708
0.7500 0.4639 0.9292
```

---

Question: which arrangement is favored energetically? Ranking from most to least stable: iii, i, ii.

---

i | VASP calculation (PBE) on a relaxed CaPr2Cu2 crystal.

Summary:
The symmetry is C2/m (12).

Geometry as POSCAR:
```
CaPr2Cu2
1.0
-0.0398 -3.1277 2.4346
1.7978 -3.4963 -4.4623
5.1613 3.4921 1.3439
Ca Pr Cu
1 2 2
Direct
0.0000 0.0000 0.0000
0.3515 0.4143 0.7031
0.6485 0.5857 0.2969
0.7163 0.1028 0.4326
0.2837 0.8972 0.5674
```

---

ii | VASP calculation (PBE) on a relaxed CaPr2Cu2 crystal.

Summary:
The symmetry is P4/mbm (127).

Geometry as POSCAR:
```
CaPr2Cu2
1.0
3.9154 0.0000 0.0000
0.0000 8.2340 0.0000
0.0000 0.0000 8.2340
Ca Pr Cu
2 4 4
Direct
0.0000 0.0000 0.0000
0.0000 0.5000 0.5000
0.5000 0.1595 0.6595
0.5000 0.6595 0.8405
0.5000 0.8405 0.3405
0.5000 0.3405 0.1595
0.0000 0.3804 0.8804
0.0000 0.8804 0.6196
0.0000 0.6196 0.1196
0.0000 0.1196 0.3804
```

---

Question: which arrangement is favored energetically? Ranking from most to least stable: ii, i.

---

i | VASP calculation (PBE) on a relaxed CaCu2Pt2 crystal.

Summary:
The symmetry is P4/mbm (127).

Geometry as POSCAR:
```
CaCu2Pt2
1.0
-6.6429 -3.2122 0.9310
2.9329 -6.5902 -1.8113
0.6337 -0.4931 2.8202
Ca Cu Pt
2 4 4
Direct
0.0000 0.0000 0.0000
0.5000 0.5000 0.0000
0.3800 0.8800 0.0000
0.8800 0.6200 0.0000
0.6200 0.1200 0.0000
0.1200 0.3800 0.0000
0.1747 0.6747 0.5000
0.6747 0.8253 0.5000
0.8253 0.3253 0.5000
0.3253 0.1747 0.5000
```

---

ii | VASP calculation (PBE) on a relaxed CaCu2Pt2 crystal.

Summary:
The symmetry is P4/mbm (127).

Geometry as POSCAR:
```
CaCu2Pt2
1.0
-2.0721 -2.1191 -6.8624
-3.5154 -5.9290 2.8923
-2.4612 1.5833 0.2542
Ca Cu Pt
2 4 4
Direct
0.0000 0.0000 0.0000
0.5000 0.5000 0.0000
0.1608 0.6608 0.5000
0.6608 0.8392 0.5000
0.8392 0.3392 0.5000
0.3392 0.1608 0.5000
0.3645 0.8645 0.0000
0.8645 0.6355 0.0000
0.6355 0.1355 0.0000
0.1355 0.3645 0.0000
```

---

iii | VASP calculation (PBE) on a relaxed CaCu2Pt2 crystal.

Summary:
The symmetry is I4/mmm (139).

Geometry as POSCAR:
```
CaCu2Pt2
1.0
-3.7098 1.1977 0.4553
-1.2452 -3.0413 -2.1459
-2.9282 -4.1643 4.0118
Ca Cu Pt
1 2 2
Direct
0.0000 0.0000 0.0000
0.7500 0.2500 0.5000
0.2500 0.7500 0.5000
0.3900 0.3900 0.2199
0.6100 0.6100 0.7801
```

---

Question: which arrangement is favored energetically? Ranking from most to least stable: i, iii, ii.

---

i | VASP calculation (PBE) on a relaxed CaSmCuPt crystal.

Summary:
The symmetry is F-43m (216).

Geometry as POSCAR:
```
CaSmCuPt
1.0
4.9954 0.0000 0.0000
2.4977 4.3261 0.0000
2.4977 1.4420 4.0787
Ca Cu Sm Pt
1 1 1 1
Direct
0.5000 0.5000 0.5000
0.2500 0.2500 0.2500
0.0000 0.0000 0.0000
0.7500 0.7500 0.7500
```

---

ii | VASP calculation (PBE) on a relaxed CaSmCuPt crystal.

Summary:
The symmetry is Amm2 (38).

Geometry as POSCAR:
```
CaSmCuPt
1.0
3.9991 0.0000 0.0000
0.0000 4.3040 0.0000
-1.9995 0.0000 5.4600
Ca Sm Cu Pt
1 1 1 1
Direct
0.1428 0.0000 0.2856
0.8636 0.5000 0.7272
0.5697 0.5000 0.1394
0.4239 0.0000 0.8478
```

---

Question: which arrangement is favored energetically? Ranking from most to least stable: ii, i.

---

i | VASP calculation (PBE) on a relaxed RbCa2Cu crystal.

Summary:
The symmetry is R-3m (166).

Geometry as POSCAR:
```
RbCa2Cu
1.0
4.2244 0.0000 0.0000
2.1122 3.6584 0.0000
2.1122 1.2195 11.5821
Ca Cu Rb
2 1 1
Direct
0.1210 0.1210 0.6371
0.8790 0.8790 0.3629
0.5000 0.5000 0.5000
0.0000 0.0000 0.0000
```

---

ii | VASP calculation (PBE) on a relaxed RbCa2Cu crystal.

Summary:
The symmetry is Fm-3m (225).

Geometry as POSCAR:
```
RbCa2Cu
1.0
-0.9730 -4.8866 -2.9287
-3.6459 -3.9568 2.1106
-5.1125 -0.8710 -2.5510
Ca Cu Rb
2 1 1
Direct
0.2500 0.2500 0.2500
0.7500 0.7500 0.7500
0.0000 0.0000 0.0000
0.5000 0.5000 0.5000
```

---

Question: which arrangement is favored energetically? Ranking from most to least stable: i, ii.